Entry 1:
## Ca3NiRu (SCAN)

Data for Ca3NiRu at its PBEsol-relaxed geometry.

Values from the calculation:
Spin magnetization: 0.08 μB per atom
Energy: -0.5631 hartree per atom
DOS at the Fermi energy: 7.93 states/eV/cell

```
Ca3NiRu
1.0
-2.709 -4.359 -0.681
1.163 0.065 -5.044
4.256 -2.793 0.945
Ru Ca Ni
1 3 1
Direct
0.000 0.000 0.000 Ru
0.000 0.500 0.000 Ca
0.000 0.000 0.500 Ca
0.500 0.000 0.000 Ca
0.500 0.500 0.500 Ni
```

***

Entry 2:
## Ca2TlNiRu (SCAN)

Data for Ca2TlNiRu at its PBEsol-relaxed geometry.

Values from the calculation:
Spin magnetization: 0.35 μB per atom
Energy: -1.0118 hartree per atom
DOS at the Fermi energy: 6.31 states/eV/cell

```
Ca2TlNiRu
1.0
-1.722 -4.235 -0.605
3.610 -0.859 -4.257
3.797 -2.063 3.637
Ru Tl Ca Ni
1 1 2 1
Direct
0.500 0.500 0.500 Ru
0.000 0.000 0.000 Tl
0.000 0.000 0.500 Ca
0.000 0.500 0.000 Ca
0.500 0.000 0.000 Ni
```

***

Entry 3:
## CaZrNi2S (SCAN)

Data for CaZrNi2S at its PBEsol-relaxed geometry.

Values from the calculation:
Spin magnetization: 0.00 μB per atom
Energy: -0.5733 hartree per atom
Energy relative to the elements, uncorrected: 0.87 eV/atom
DOS at the Fermi energy: 4.02 states/eV/cell

```
CaZrNi2S
1.0
4.371 0.000 0.000
0.000 4.371 0.000
0.000 0.000 6.729
Ni Ca S Zr
2 1 1 1
Direct
0.000 0.500 0.000 Ni
0.500 0.000 0.000 Ni
0.000 0.000 0.500 Ca
0.500 0.500 0.500 S
0.000 0.000 0.000 Zr
```

***

Entry 4:
## CaNi2Sb (SCAN)

Data for CaNi2Sb at its PBEsol-relaxed geometry.

Values from the calculation:
Spin magnetization: 0.00 μB per atom
Energy: -0.7366 hartree per atom
Energy relative to the elements, uncorrected: -0.23 eV/atom
DOS at the Fermi energy: 2.50 states/eV/cell

```
CaNi2Sb
1.0
-1.032 -3.566 -0.600
2.553 -1.236 2.954
-2.776 2.224 3.329
Sb Ca Ni
1 1 2
Direct
0.514 0.000 0.403 Sb
0.228 0.500 0.831 Ca
0.810 0.000 0.994 Ni
0.948 0.500 0.272 Ni
```

***

Entry 5:
## CaNi2Sb (SCAN)

Data for CaNi2Sb at its PBEsol-relaxed geometry.

Values from the calculation:
Spin magnetization: 0.00 μB per atom
Energy: -0.7441 hartree per atom
Energy relative to the elements, uncorrected: -0.43 eV/atom
DOS at the Fermi energy: 2.35 states/eV/cell

```
CaNi2Sb
1.0
4.263 0.000 0.000
2.131 3.692 0.000
2.131 1.231 4.825
Sb Ca Ni
1 1 2
Direct
0.500 0.500 0.500 Sb
0.000 0.000 0.000 Ca
0.193 0.193 0.421 Ni
0.807 0.807 0.579 Ni
```

***

Entry 6:
## CaTaNiSb2 (SCAN)

Data for CaTaNiSb2 at its PBEsol-relaxed geometry.

Values from the calculation:
Spin magnetization: 0.00 μB per atom
Energy: -1.2145 hartree per atom
Energy relative to the elements, uncorrected: 0.34 eV/atom
DOS at the Fermi energy: 3.94 states/eV/cell

```
CaTaNiSb2
1.0
4.711 0.000 0.000
0.000 4.947 0.000
0.000 0.000 4.947
Sb Ca Ni Ta
2 1 1 1
Direct
0.000 0.000 0.500 Sb
0.000 0.500 0.000 Sb
0.500 0.500 0.500 Ca
0.000 0.000 0.000 Ni
0.500 0.000 0.000 Ta
```

***

Q: The highest DOS at the Fermi energy belongs to which entry?
A: Ca3NiRu

***

Copy entry 5 word for word.
## CaNi2Sb (SCAN)

Data for CaNi2Sb at its PBEsol-relaxed geometry.

Values from the calculation:
Spin magnetization: 0.00 μB per atom
Energy: -0.7441 hartree per atom
Energy relative to the elements, uncorrected: -0.43 eV/atom
DOS at the Fermi energy: 2.35 states/eV/cell

```
CaNi2Sb
1.0
4.263 0.000 0.000
2.131 3.692 0.000
2.131 1.231 4.825
Sb Ca Ni
1 1 2
Direct
0.500 0.500 0.500 Sb
0.000 0.000 0.000 Ca
0.193 0.193 0.421 Ni
0.807 0.807 0.579 Ni
```